Record 1
Below is an optimized crystal structure of Li3UN3, with properties calculated at the GGA-PBE level.

Summary:
total energy	-0.2582	Ha/atom
crystal system	cubic
magnetic moment	0.0	Bohr magnetons per cell

Cell: 4.3565 4.3565 4.3565 Å, 90.00 90.00 90.00°
Fractional coordinates of all 7 atoms:
N1 0.0000 0.0000 0.5000
N2 0.5000 0.0000 0.0000
N3 0.0000 0.5000 0.0000
Li1 0.5000 0.0000 0.5000
Li2 0.0000 0.5000 0.5000
Li3 0.5000 0.5000 0.0000
U1 0.0000 0.0000 0.0000

Record 2
Below is an optimized crystal structure of Li4SiSnAu2, with properties calculated at the GGA-PBE level.

Summary:
total energy	-0.1266	Ha/atom
crystal system	tetragonal

Cell: 4.3702 4.3702 6.5026 Å, 90.00 90.00 90.00°
Fractional coordinates of all 8 atoms:
Li1 0.5000 0.5000 0.0000
Li2 0.0000 0.0000 0.5000
Li3 0.0000 0.5000 0.2232
Li4 0.5000 0.0000 0.7768
Au1 0.5000 0.0000 0.2180
Au2 0.0000 0.5000 0.7820
Si1 0.0000 0.0000 0.0000
Sn1 0.5000 0.5000 0.5000

Record 3
Below is an optimized crystal structure of NbNiMo, with properties calculated at the GGA-PBE level.

Summary:
formation energy	0.26	eV/atom
crystal system	hexagonal
ΔE to the lowest computed polymorph	0	meV/atom
magnetic moment	0.0	Bohr magnetons per cell

Cell: 6.7346 6.7346 3.5898 Å, 90.00 90.00 120.00°
Fractional coordinates of all 9 atoms:
Mo1 0.0000 0.0000 0.5000
Mo2 0.3333 0.6667 0.0000
Mo3 0.6667 0.3333 0.0000
Nb1 0.5907 0.0000 0.5000
Nb2 0.0000 0.5907 0.5000
Nb3 0.4093 0.4093 0.5000
Ni1 0.7504 0.7504 0.0000
Ni2 0.0000 0.2496 0.0000
Ni3 0.2496 0.0000 0.0000

Record 4
Below is an optimized crystal structure of DyYGaCo2, with properties calculated at the GGA-PBE level.

Summary:
total energy	-0.2214	Ha/atom
crystal system	orthorhombic
magnetic moment	0.9	Bohr magnetons per cell

Cell: 3.8770 6.8222 6.8222 Å, 32.07 90.00 90.00°
Last column: magnetic moment on the atom in μB.
Fractional coordinates of all 5 atoms:
Co1 0.5000 0.2020 0.2020  0.62
Co2 0.5000 0.7999 0.7999  0.61
Y1 0.0000 0.6309 0.6309  -0.07
Ga1 0.5000 0.9996 0.9996  -0.03
Dy1 0.0000 0.3676 0.3676  -0.10

Record 5
Below is an optimized crystal structure of CsLuHgO3, with properties calculated at the GGA-PBE level.

Summary:
total energy	-0.1956	Ha/atom
crystal system	orthorhombic
magnetic moment	0.0	Bohr magnetons per cell

Cell: 7.7418 7.7418 8.9045 Å, 90.00 90.00 26.63°
Fractional coordinates of all 12 atoms:
Cs1 0.3139 0.3139 0.7500
Cs2 0.6861 0.6861 0.2500
O1 0.4056 0.4056 0.0200
O2 0.4056 0.4056 0.4800
O3 0.9770 0.9770 0.7500
O4 0.0230 0.0230 0.2500
O5 0.5944 0.5944 0.9800
O6 0.5944 0.5944 0.5200
Hg1 0.5995 0.5995 0.7500
Hg2 0.4005 0.4005 0.2500
Lu1 0.0000 0.0000 0.0000
Lu2 0.0000 0.0000 0.5000

Record 6
Below is an optimized crystal structure of DyYCd6, with properties calculated at the GGA-PBE level.

Summary:
formation energy	-0.30	eV/atom
crystal system	orthorhombic
ΔE to the lowest computed polymorph	0	meV/atom
magnetic moment	0.0	Bohr magnetons per cell

Cell: 4.8405 6.4387 6.4387 Å, 67.35 90.00 90.00°
Fractional coordinates of all 8 atoms:
Cd1 0.0000 0.3245 0.3245
Cd2 0.5000 0.6192 0.1895
Cd3 0.5000 0.1895 0.6192
Cd4 0.0000 0.8096 0.3813
Cd5 0.5000 0.6760 0.6760
Cd6 0.0000 0.3813 0.8096
Y1 0.5000 0.1336 0.1336
Dy1 0.0000 0.8663 0.8663

Record 7
Below is an optimized crystal structure of Gd2CoAu, with properties calculated at the GGA-PBE level.

Summary:
formation energy	-0.45	eV/atom
crystal system	orthorhombic
magnetic moment	0.0	Bohr magnetons per cell

Cell: 4.3415 5.6479 5.6479 Å, 40.62 90.00 90.00°
Fractional coordinates of all 4 atoms:
Au1 0.0000 0.4249 0.4249
Gd1 0.5000 0.8528 0.8528
Gd2 0.0000 0.1388 0.1388
Co1 0.5000 0.5835 0.5835

Record 8
Below is an optimized crystal structure of InNi2Pd, with properties calculated at the GGA-PBE level.

Summary:
total energy	-0.1799	Ha/atom
crystal system	cubic
magnetic moment	0.0	Bohr magnetons per cell

Cell: 4.3264 4.3264 4.3264 Å, 60.00 60.00 60.00°
Fractional coordinates of all 4 atoms:
Ni1 0.0000 0.0000 0.0000
Ni2 0.7500 0.7500 0.7500
In1 0.5000 0.5000 0.5000
Pd1 0.2500 0.2500 0.2500

Record 9
Below is an optimized crystal structure of KAsPd, with properties calculated at the GGA-PBE level.

Summary:
total energy	-0.1034	Ha/atom
crystal system	cubic

Cell: 4.8742 4.8742 4.8742 Å, 60.00 60.00 60.00°
Fractional coordinates of all 3 atoms:
Pd1 0.7500 0.7500 0.7500
As1 0.2500 0.2500 0.2500
K1 0.0000 0.0000 0.0000

Record 10
Below is an optimized crystal structure of TbDyIn, with properties calculated at the GGA-PBE level.

Summary:
total energy	-0.1501	Ha/atom
crystal system	cubic
magnetic moment	0.0	Bohr magnetons per cell

Cell: 5.1836 5.1836 5.1836 Å, 60.00 60.00 60.00°
Fractional coordinates of all 3 atoms:
In1 0.0000 0.0000 0.0000
Tb1 0.7500 0.7500 0.7500
Dy1 0.2500 0.2500 0.2500

Record 11
Below is an optimized crystal structure of Pm2SbTe, with properties calculated at the GGA-PBE level.

Summary:
crystal system	orthorhombic
ΔE to the lowest computed polymorph	0	meV/atom
magnetic moment	0.0	Bohr magnetons per cell

Cell: 4.4787 6.3248 8.9748 Å, 90.00 90.00 90.00°
Fractional coordinates of all 8 atoms:
Te1 0.0000 0.5000 0.3775
Te2 0.5000 0.0000 0.6225
Pm1 0.0000 0.0000 0.8816
Pm2 0.5000 0.5000 0.6352
Pm3 0.0000 0.0000 0.3648
Pm4 0.5000 0.5000 0.1184
Sb1 0.5000 0.0000 0.1253
Sb2 0.0000 0.5000 0.8747

Record 12
Below is an optimized crystal structure of LiTcN, with properties calculated at the GGA-PBE level.

Summary:
total energy	-0.2631	Ha/atom
crystal system	orthorhombic
magnetic moment	0.0	Bohr magnetons per cell

Cell: 10.6025 2.7869 4.5602 Å, 90.00 90.00 90.00°
Fractional coordinates of all 12 atoms:
Tc1 0.4766 0.2500 0.7615
Tc2 0.9766 0.2500 0.7385
Tc3 0.0234 0.7500 0.2615
Tc4 0.5234 0.7500 0.2385
N1 0.8688 0.7500 0.5161
N2 0.1312 0.2500 0.4839
N3 0.6312 0.2500 0.0161
N4 0.3688 0.7500 0.9839
Li1 0.7156 0.7500 0.7691
Li2 0.7844 0.2500 0.2691
Li3 0.2156 0.7500 0.7309
Li4 0.2844 0.2500 0.2309